1.
The following is a DFT calculation (GGA-PBE) of a relaxed InNiSe crystal.

Unit cell a=3.7078 b=8.9797 c=5.3809 alpha=116.94 beta=90.00 gamma=51.64
Atoms (fractional coordinates):
In 0.9075 0.7750 0.7912
In 0.6608 0.2714 0.1834
Ni 0.5083 0.3737 0.7501
Ni 0.1552 0.9428 0.6044
Se 0.7096 0.5730 0.1255
Se 0.4334 0.0904 0.4697

Output
The raw formation energy is -237 meV per atom. As for the space-group type: P1 (1). For the excess energy over the best structure of this formula in the dataset, the calculation gives 0.0000 eV/atom. As for the energy: -25.4 eV/cell.

***

2.
The following is a DFT calculation (GGA-PBE) of a relaxed In2NiSe crystal.

Unit cell a=7.4299 b=7.4299 c=7.4299 alpha=154.39 beta=149.04 gamma=40.60
Atoms (fractional coordinates):
In 0.0155 0.0155 0.0000
In 0.7011 0.2011 0.5000
Ni 0.4508 0.4508 0.0000
Se 0.3327 0.8327 0.5000

Output
The raw formation energy is -64 meV per atom. As for the space-group type: Imm2 (44). As for the energy: -15.0 eV/cell.

***

3.
The following is a DFT calculation (GGA-PBE) of a relaxed In4NiSe crystal.

Unit cell a=6.0193 b=6.0193 c=6.0193 alpha=60.00 beta=60.00 gamma=60.00
Each line ends with the local moment (μB).
Atoms (fractional coordinates):
In 0.8739 0.3754 0.3754  0.00
In 0.3754 0.3754 0.8739  0.00
In 0.3754 0.8739 0.3754  0.00
In 0.3754 0.3754 0.3754  0.00
Ni 0.7500 0.7500 0.7500  0.51
Se 0.0000 0.0000 0.0000  0.03

Output
The raw formation energy is 517 meV per atom. As for the space-group type: F-43m (216). As for the energy: -17.1 eV/cell.

***

4.
The following is a DFT calculation (GGA-PBE) of a relaxed In2NiSe crystal.

Unit cell a=6.6898 b=6.6898 c=6.7177 alpha=60.14 beta=60.14 gamma=90.00
Atoms (fractional coordinates):
Ni 0.5000 0.5000 0.0000
Ni 0.2500 0.7500 0.5000
Se 0.0000 0.0000 0.0000
Se 0.7500 0.2500 0.5000
In 0.5956 0.1250 0.2500
In 0.1544 0.6250 0.2500
In 0.3750 0.4044 0.7500
In 0.8750 0.8456 0.7500

Output
The raw formation energy is 59 meV per atom. As for the space-group type: I-42d (122). As for the energy: -29.0 eV/cell.

***

5.
The following is a DFT calculation (GGA-PBE) of a relaxed In2NiSe crystal.

Unit cell a=5.6180 b=5.6180 c=5.6180 alpha=136.44 beta=136.44 gamma=63.30
Atoms (fractional coordinates):
In 0.0000 0.0000 0.0000
In 0.5000 0.5000 0.0000
Ni 0.2500 0.7500 0.5000
Se 0.7500 0.2500 0.5000

Output
The raw formation energy is 268 meV per atom. As for the space-group type: I4/mmm (139). As for the energy: -13.7 eV/cell.

***

6.
The following is a DFT calculation (GGA-PBE) of a relaxed InNi2Se crystal.

Unit cell a=6.3782 b=6.3782 c=6.3782 alpha=148.82 beta=150.60 gamma=43.39
Atoms (fractional coordinates):
In 0.2946 0.7946 0.5000
Ni 0.9901 0.9901 0.0000
Ni 0.6802 0.1802 0.5000
Se 0.5350 0.5350 0.0000

Output
The raw formation energy is -31 meV per atom. As for the space-group type: Imm2 (44). For the excess energy over the best structure of this formula in the dataset, the calculation gives 0.0592 eV/atom. As for the energy: -17.9 eV/cell.